This record from the Alexandria database describes a relaxed structure of MgFeB2. The functional is PBE-GGA.

abc: 7.2071 7.2071 7.2071
angles: 149.60 149.60 43.53
Last column: nearest neighbours and their distance in Å.
Sites, in units of the cell vectors:
Mg1 0.3750 0.6250 0.7500  4 Fe 2.67, 8 B 2.70
Mg2 0.6250 0.3750 0.2500  4 Fe 2.67, 8 B 2.70
Fe1 0.1250 0.8750 0.2500  4 B 1.92
Fe2 0.8750 0.1250 0.7500  4 B 1.92
B1 0.0000 0.0000 0.0000  2 B 1.89, 2 Fe 1.92
B2 0.0000 0.0000 0.5000  2 B 1.89, 2 Fe 1.92
B3 0.0000 0.5000 0.0000  2 B 1.89, 2 Fe 1.92
B4 0.5000 0.0000 0.5000  2 B 1.89, 2 Fe 1.92

Density of states at the Fermi level ... 0.5960 states/eV per atom
M_tot ... 0.000 μB/f.u.
Final energy ... -5.568 eV/atom


This record from the Alexandria database describes a relaxed structure of MgNb2Ni. The functional is PBE-GGA.

abc: 5.8320 5.8320 5.8320
angles: 101.53 101.53 126.88
Last column: nearest neighbours and their distance in Å.
Sites, in units of the cell vectors:
Mg1 0.0000 0.0000 0.0000  2 Ni 2.61
Mg2 0.7500 0.2500 0.5000  2 Ni 2.61
Nb1 0.1691 0.6250 0.0441  2 Ni 2.48, 2 Nb 2.69
Nb2 0.3750 0.4191 0.5441  2 Ni 2.48, 2 Nb 2.69
Nb3 0.5809 0.1250 0.9559  2 Ni 2.48, 2 Nb 2.69
Nb4 0.8750 0.8309 0.4559  2 Ni 2.48, 2 Nb 2.69
Ni1 0.2500 0.7500 0.5000  4 Nb 2.48, 2 Mg 2.61
Ni2 0.5000 0.5000 0.0000  4 Nb 2.48, 2 Mg 2.61

Density of states at the Fermi level ... 0.8031 states/eV per atom
M_tot ... 0.000 μB/f.u.
Final energy ... -6.499 eV/atom


This record from the Alexandria database describes a relaxed structure of SrZrTa2. The functional is PBE-GGA.

abc: 5.8193 5.8193 5.8193
angles: 137.04 137.04 62.37
Last column: nearest neighbours and their distance in Å.
Sites, in units of the cell vectors:
Sr1 0.0000 0.0000 0.0000  4 Zr 3.01, 8 Ta 3.28
Zr1 0.5000 0.5000 0.0000  4 Sr 3.01, 8 Ta 3.28
Ta1 0.2500 0.7500 0.5000  4 Ta 3.01, 4 Zr 3.28, 4 Sr 3.28
Ta2 0.7500 0.2500 0.5000  4 Ta 3.01, 4 Zr 3.28, 4 Sr 3.28

Density of states at the Fermi level ... 1.1406 states/eV per atom
M_tot ... 0.000 μB/f.u.
Final energy ... -7.566 eV/atom


This record from the Alexandria database describes a relaxed structure of Li3AsAu. The functional is PBE-GGA.

abc: 6.4256 6.4256 6.4256
angles: 87.57 119.13 123.75
Last column: nearest neighbours and their distance in Å.
Sites, in units of the cell vectors:
Li1 0.2446 0.0328 0.2774  1 Au 2.62, 2 Li 2.78-2.83, 2 As 2.80
Li2 0.2446 0.4672 0.7118  1 Au 2.62, 2 Li 2.78-2.83, 2 As 2.80
Li3 0.6754 0.4877 0.6878  1 As 2.45, 2 Au 2.53-2.54
Li4 0.7554 0.5328 0.2882  1 Au 2.62, 2 Li 2.78-2.83, 2 As 2.80
Li5 0.7554 0.9672 0.7226  1 Au 2.62, 2 Li 2.78-2.83, 2 As 2.80
Li6 0.7999 0.9877 0.3122  1 As 2.45, 2 Au 2.53-2.54
As1 0.1930 0.0054 0.6876  1 Li 2.45, 2 Au 2.53-2.55
As2 0.3178 0.5054 0.3124  1 Li 2.45, 2 Au 2.53-2.55
Au1 0.2393 0.7470 0.9923  2 As 2.53-2.55, 4 Li 2.53-2.62
Au2 0.7546 0.2470 0.0077  2 As 2.53-2.55, 4 Li 2.53-2.62

Density of states at the Fermi level ... 0.1880 states/eV per atom
M_tot ... 0.000 μB/f.u.
Final energy ... -3.121 eV/atom


This record from the Alexandria database describes a relaxed structure of AgPBr. The functional is PBE-GGA.

abc: 7.0204 7.0204 7.7971
angles: 123.31 123.31 28.09
Last column: nearest neighbours and their distance in Å.
Sites, in units of the cell vectors:
Ag1 0.0000 0.0000 0.0000  4 Br 2.84-2.88, 2 P 2.87
Ag2 0.6456 0.6456 0.6287  1 P 2.47, 1 Br 2.67
P1 0.4876 0.4876 0.6920  2 P 2.23, 1 Ag 2.47
P2 0.9252 0.9252 0.4698  2 P 2.23
Br1 0.3179 0.3179 0.9461  4 Ag 2.82-2.84
Br2 0.6809 0.6809 0.3247  3 Ag 2.67-2.88, 1 P 2.85

Density of states at the Fermi level ... 0.0377 states/eV per atom
M_tot ... 0.000 μB/f.u.
E_form (uncorrected) ... -0.72 kcal/mol of atoms


This record from the Alexandria database describes a relaxed structure of Zr7Tc3. The functional is PBE-GGA.

abc: 9.2547 9.2547 5.7133
angles: 90.00 90.00 120.00
Last column: nearest neighbours and their distance in Å.
Sites, in units of the cell vectors:
Zr1 0.0720 0.5360 0.9995  2 Tc 2.68
Zr2 0.1318 0.2636 0.2660  3 Tc 2.64-2.87
Zr3 0.1318 0.8682 0.2660  3 Tc 2.64-2.87
Zr4 0.2636 0.1318 0.7660  3 Tc 2.64-2.87
Zr5 0.3333 0.6667 0.5000  3 Tc 2.78
Zr6 0.4640 0.5360 0.9995  2 Tc 2.68
Zr7 0.4640 0.9280 0.9995  2 Tc 2.68
Zr8 0.5360 0.0720 0.4995  2 Tc 2.68
Zr9 0.5360 0.4640 0.4995  2 Tc 2.68
Zr10 0.6667 0.3333 0.0000  3 Tc 2.78
Zr11 0.7364 0.8682 0.2660  3 Tc 2.64-2.87
Zr12 0.8682 0.1318 0.7660  3 Tc 2.64-2.87
Zr13 0.8682 0.7364 0.7660  3 Tc 2.64-2.87
Zr14 0.9280 0.4640 0.4995  2 Tc 2.68
Tc1 0.1842 0.3684 0.7471  6 Zr 2.64-2.87
Tc2 0.1842 0.8158 0.7471  6 Zr 2.64-2.87
Tc3 0.3684 0.1842 0.2471  6 Zr 2.64-2.87
Tc4 0.6316 0.8158 0.7471  6 Zr 2.64-2.87
Tc5 0.8158 0.1842 0.2471  6 Zr 2.64-2.87
Tc6 0.8158 0.6316 0.2471  6 Zr 2.64-2.87

Density of states at the Fermi level ... 1.0716 states/eV per atom
M_tot ... 0.000 μB/f.u.
Final energy ... -9.199 eV/atom


This record from the Alexandria database describes a relaxed structure of ScRuPt2. The functional is PBE-GGA.

abc: 9.6710 9.6710 9.6710
angles: 156.93 156.93 32.86
Last column: nearest neighbours and their distance in Å.
Sites, in units of the cell vectors:
Sc1 0.0000 0.0000 0.0000  4 Pt 2.70, 4 Ru 2.74
Sc2 0.7500 0.2500 0.5000  4 Pt 2.70, 4 Ru 2.74
Ru1 0.2500 0.7500 0.5000  4 Pt 2.68, 4 Sc 2.74
Ru2 0.5000 0.5000 0.0000  4 Pt 2.68, 4 Sc 2.74
Pt1 0.1335 0.6250 0.0085  2 Ru 2.68, 4 Pt 2.69-2.78, 2 Sc 2.70
Pt2 0.3750 0.3835 0.5085  2 Ru 2.68, 4 Pt 2.69-2.78, 2 Sc 2.70
Pt3 0.6165 0.1250 0.9915  2 Ru 2.68, 4 Pt 2.69-2.78, 2 Sc 2.70
Pt4 0.8750 0.8665 0.4915  2 Ru 2.68, 4 Pt 2.69-2.78, 2 Sc 2.70

Density of states at the Fermi level ... 1.2483 states/eV per atom
M_tot ... 0.000 μB/f.u.
Final energy ... -7.151 eV/atom


This record from the Alexandria database describes a relaxed structure of CaEuYTl. The functional is PBE-GGA.

abc: 5.6542 5.6542 5.6542
angles: 60.00 60.00 60.00
Last column: nearest neighbours and their distance in Å.
Sites, in units of the cell vectors:
Ca1 0.0000 0.0000 0.0000  4 Eu 3.46, 4 Y 3.46
Eu1 0.7500 0.7500 0.7500  4 Tl 3.46, 4 Ca 3.46
Y1 0.2500 0.2500 0.2500  4 Tl 3.46, 4 Ca 3.46
Tl1 0.5000 0.5000 0.5000  4 Eu 3.46, 4 Y 3.46

Density of states at the Fermi level ... 2.0436 states/eV per atom
M_tot ... 7.459 μB/f.u.
Final energy ... -5.376 eV/atom